No. 1
# PBE-GGA Ca2Ni5Sb3, optimized geometry
# - Total magnetization: 0.00 μB/f.u.
# - E_form (uncorrected): -0.42 eV/atom
# - E_tot: -4.951 eV per atom
data_Ca2Ni5Sb3
_symmetry_space_group_name_H-M 'C m c 21'
_symmetry_Int_Tables_number 36
_cell_length_a 4.3068
_cell_length_b 23.2504
_cell_length_c 7.3081
_cell_angle_alpha 90.00
_cell_angle_beta 90.00
_cell_angle_gamma 90.00
loop_
_symmetry_equiv_pos_as_xyz
'x,y,z'
'-x,-y,z+1/2'
'-x,y,z'
'x,-y,z+1/2'
'x+1/2,y+1/2,z'
'-x+1/2,-y+1/2,z+1/2'
'-x+1/2,y+1/2,z'
'x+1/2,-y+1/2,z+1/2'
loop_
_atom_site_label
_atom_site_type_symbol
_atom_site_fract_x
_atom_site_fract_y
_atom_site_fract_z
Ca1 Ca 0.0000 0.0209 0.0000
Ca2 Ca 0.0000 0.3406 0.4830
Ni1 Ni 0.0000 0.1213 0.3285
Ni2 Ni 0.0000 0.2116 0.5443
Ni3 Ni 0.0000 0.2320 0.1825
Ni4 Ni 0.0000 0.3557 0.0321
Ni5 Ni 0.0000 0.4536 0.1754
Sb1 Sb 0.0000 0.1088 0.6900
Sb2 Sb 0.0000 0.2641 0.8564
Sb3 Sb 0.0000 0.4404 0.7968

=====

No. 2
# PBE-GGA CaNi3Sb3, optimized geometry
# - Total magnetization: 0.00 μB/f.u.
# - E_form (uncorrected): -0.14 eV/atom
# - E_tot: -4.665 eV per atom
data_CaNi3Sb3
_symmetry_space_group_name_H-M 'P m -3 n'
_symmetry_Int_Tables_number 223
_symmetry_space_group_name_Hall '-P 4n 2 3'
_cell_length_a 6.9433
_cell_length_b 6.9433
_cell_length_c 6.9433
_cell_angle_alpha 90.00
_cell_angle_beta 90.00
_cell_angle_gamma 90.00
loop_
_atom_site_label
_atom_site_type_symbol
_atom_site_fract_x
_atom_site_fract_y
_atom_site_fract_z
Ca1 Ca 0.0000 0.0000 0.0000
Ni1 Ni 0.0000 0.2500 0.5000
Sb1 Sb 0.0000 0.5000 0.2500

=====

No. 3
# PBE-GGA Ca3Ni6Sb5, optimized geometry
# - Total magnetization: 0.00 μB/f.u.
# - E_form (uncorrected): -0.52 eV/atom
# - E_tot: -4.897 eV per atom
data_Ca3Ni6Sb5
_symmetry_space_group_name_H-M 'P m m n'
_symmetry_Int_Tables_number 59
_cell_length_a 4.2460
_cell_length_b 12.7367
_cell_length_c 10.0972
_cell_angle_alpha 90.00
_cell_angle_beta 90.00
_cell_angle_gamma 90.00
loop_
_symmetry_equiv_pos_as_xyz
'x,y,z'
'-x,-y,-z'
'-x+1/2,-y+1/2,z'
'x+1/2,y+1/2,-z'
'x+1/2,-y,-z'
'-x+1/2,y,z'
'-x,y+1/2,-z'
'x,-y+1/2,z'
loop_
_atom_site_label
_atom_site_type_symbol
_atom_site_fract_x
_atom_site_fract_y
_atom_site_fract_z
Ca1 Ca 0.2500 0.0785 0.2480
Ca2 Ca 0.2500 0.7500 0.2556
Ni1 Ni 0.2500 0.0709 0.8857
Ni2 Ni 0.2500 0.2500 0.4968
Ni3 Ni 0.2500 0.2500 0.9942
Ni4 Ni 0.2500 0.5879 0.5008
Sb1 Sb 0.2500 0.0818 0.6347
Sb2 Sb 0.2500 0.6191 0.9861
Sb3 Sb 0.2500 0.7500 0.6449

=====

No. 4
# PBE-GGA CaNi2Sb, optimized geometry
# - Total magnetization: 0.00 μB/f.u.
# - E_form (uncorrected): -0.08 eV/atom
# - E_tot: -4.501 eV per atom
data_CaNi2Sb
_symmetry_space_group_name_H-M 'P m m m'
_symmetry_Int_Tables_number 47
_cell_length_a 3.3742
_cell_length_b 3.4232
_cell_length_c 6.3781
_cell_angle_alpha 90.00
_cell_angle_beta 90.00
_cell_angle_gamma 90.00
loop_
_symmetry_equiv_pos_as_xyz
'x,y,z'
'-x,-y,-z'
'-x,-y,z'
'x,y,-z'
'x,-y,-z'
'-x,y,z'
'-x,y,-z'
'x,-y,z'
loop_
_atom_site_label
_atom_site_type_symbol
_atom_site_fract_x
_atom_site_fract_y
_atom_site_fract_z
Ca1 Ca 0.0000 0.0000 0.0000
Ni1 Ni 0.5000 0.5000 0.2980
Sb1 Sb 0.0000 0.0000 0.5000

=====

What is the E_tot in the fourth record? -4.501 eV per atom